# 1
! MgPtSe PBE optimized geometry; values from VASP
&SYSTEM
  ibrav = 0, nat = 6, ntyp = 3
/
ATOMIC_SPECIES
Mg 24.30 Mg.upf
Pt 195.08 Pt.upf
Se 78.96 Se.upf
CELL_PARAMETERS angstrom
4.636 -1.919 0.000
4.636 1.919 0.000
-4.482 0.000 6.778
ATOMIC_POSITIONS crystal
Mg 0.021 0.021 0.252
Mg 0.979 0.979 0.748
Pt 0.255 0.255 0.119
Pt 0.745 0.745 0.881
Se 0.237 0.237 0.667
Se 0.763 0.763 0.333
! M_tot ... 0.000 μB per atom
! SG ... C2/m, No. 12
! Formation energy (no corrections) ... -0.727 eV/atom

=====

# 2
! MgTc2PtSe PBE optimized geometry; values from VASP
&SYSTEM
  ibrav = 0, nat = 5, ntyp = 4
/
ATOMIC_SPECIES
Mg 24.30 Mg.upf
Tc 98.00 Tc.upf
Pt 195.08 Pt.upf
Se 78.96 Se.upf
CELL_PARAMETERS angstrom
4.889 0.000 0.000
0.000 4.889 0.000
0.000 0.000 4.890
ATOMIC_POSITIONS crystal
Mg 0.000 0.000 0.000
Tc 0.000 0.500 0.500
Tc 0.500 0.000 0.500
Pt 0.000 0.000 0.500
Se 0.500 0.500 0.000
! M_tot ... 1.050 μB per atom
! SG ... P4/mmm, No. 123
! Formation energy (no corrections) ... 1.098 eV/atom

=====

# 3
! MgTePtSe2 PBE optimized geometry; values from VASP
&SYSTEM
  ibrav = 0, nat = 5, ntyp = 4
/
ATOMIC_SPECIES
Mg 24.30 Mg.upf
Te 127.60 Te.upf
Pt 195.08 Pt.upf
Se 78.96 Se.upf
CELL_PARAMETERS angstrom
4.945 0.000 0.000
0.000 4.945 0.000
0.000 0.000 4.950
ATOMIC_POSITIONS crystal
Mg 0.000 0.000 0.000
Te 0.500 0.500 0.500
Pt 0.000 0.000 0.500
Se 0.000 0.500 0.000
Se 0.500 0.000 0.000
! M_tot ... 0.000 μB per atom
! SG ... P4/mmm, No. 123
! Formation energy (no corrections) ... 0.483 eV/atom

=====

# 4
! MgTePt2Se PBE optimized geometry; values from VASP
&SYSTEM
  ibrav = 0, nat = 5, ntyp = 4
/
ATOMIC_SPECIES
Mg 24.30 Mg.upf
Te 127.60 Te.upf
Pt 195.08 Pt.upf
Se 78.96 Se.upf
CELL_PARAMETERS angstrom
4.926 0.000 0.000
0.000 4.926 0.000
0.000 0.000 5.574
ATOMIC_POSITIONS crystal
Mg 0.000 0.000 0.000
Te 0.500 0.500 0.500
Pt 0.000 0.500 0.500
Pt 0.500 0.000 0.500
Se 0.500 0.500 0.000
! M_tot ... 0.000 μB per atom
! SG ... P4/mmm, No. 123
! Formation energy (no corrections) ... 0.457 eV/atom

=====

# 5
! MgSiPt2 PBE optimized geometry; values from VASP
&SYSTEM
  ibrav = 0, nat = 16, ntyp = 3
/
ATOMIC_SPECIES
Mg 24.30 Mg.upf
Si 28.09 Si.upf
Pt 195.08 Pt.upf
CELL_PARAMETERS angstrom
6.749 0.000 0.000
0.000 6.974 0.000
0.000 0.000 5.451
ATOMIC_POSITIONS crystal
Mg 0.004 0.250 0.090
Mg 0.496 0.750 0.590
Mg 0.504 0.250 0.410
Mg 0.996 0.750 0.910
Si 0.118 0.250 0.585
Si 0.382 0.750 0.085
Si 0.618 0.250 0.915
Si 0.882 0.750 0.415
Pt 0.176 0.547 0.357
Pt 0.176 0.953 0.357
Pt 0.324 0.047 0.857
Pt 0.324 0.453 0.857
Pt 0.676 0.547 0.143
Pt 0.676 0.953 0.143
Pt 0.824 0.047 0.643
Pt 0.824 0.453 0.643
! M_tot ... 0.000 μB per atom
! SG ... Pnma, No. 62
! Formation energy (no corrections) ... -0.789 eV/atom

=====

# 6
! Mg3SiPt12 PBE optimized geometry; values from VASP
&SYSTEM
  ibrav = 0, nat = 16, ntyp = 3
/
ATOMIC_SPECIES
Mg 24.30 Mg.upf
Si 28.09 Si.upf
Pt 195.08 Pt.upf
CELL_PARAMETERS angstrom
3.953 0.000 0.000
0.000 3.953 0.000
0.000 0.000 15.801
ATOMIC_POSITIONS crystal
Mg 0.000 0.000 0.000
Mg 0.000 0.000 0.251
Mg 0.000 0.000 0.749
Si 0.000 0.000 0.500
Pt 0.000 0.500 0.126
Pt 0.000 0.500 0.379
Pt 0.000 0.500 0.621
Pt 0.000 0.500 0.874
Pt 0.500 0.000 0.126
Pt 0.500 0.000 0.379
Pt 0.500 0.000 0.621
Pt 0.500 0.000 0.874
Pt 0.500 0.500 0.000
Pt 0.500 0.500 0.253
Pt 0.500 0.500 0.500
Pt 0.500 0.500 0.747
! M_tot ... 0.000 μB per atom
! SG ... P4/mmm, No. 123
! Formation energy (no corrections) ... -0.545 eV/atom

=====

# 7
! MgSiPt4 PBE optimized geometry; values from VASP
&SYSTEM
  ibrav = 0, nat = 6, ntyp = 3
/
ATOMIC_SPECIES
Mg 24.30 Mg.upf
Si 28.09 Si.upf
Pt 195.08 Pt.upf
CELL_PARAMETERS angstrom
0.000 3.740 3.740
3.740 0.000 3.740
3.740 3.740 0.000
ATOMIC_POSITIONS crystal
Mg 0.000 0.000 0.000
Si 0.250 0.250 0.250
Pt 0.125 0.625 0.625
Pt 0.625 0.125 0.625
Pt 0.625 0.625 0.125
Pt 0.625 0.625 0.625
! M_tot ... 0.000 μB per atom
! SG ... F-43m, No. 216
! Energy relative to the lowest polymorph listed for this composition ... 419.6 meV per atom
! Formation energy (no corrections) ... -0.150 eV/atom

=====

# 8
! MgSiPt2 PBE optimized geometry; values from VASP
&SYSTEM
  ibrav = 0, nat = 4, ntyp = 3
/
ATOMIC_SPECIES
Mg 24.30 Mg.upf
Si 28.09 Si.upf
Pt 195.08 Pt.upf
CELL_PARAMETERS angstrom
4.463 0.000 0.000
0.000 2.983 0.000
-2.018 0.000 4.581
ATOMIC_POSITIONS crystal
Mg 0.000 0.000 0.000
Si 0.000 0.500 0.500
Pt 0.500 0.000 0.500
Pt 0.500 0.500 0.000
! M_tot ... 0.000 μB per atom
! SG ... P2/m, No. 10
! Formation energy (no corrections) ... -0.537 eV/atom

=====

# 9
! MgSiPt2 PBE optimized geometry; values from VASP
&SYSTEM
  ibrav = 0, nat = 4, ntyp = 3
/
ATOMIC_SPECIES
Mg 24.30 Mg.upf
Si 28.09 Si.upf
Pt 195.08 Pt.upf
CELL_PARAMETERS angstrom
-1.871 1.871 4.279
1.871 -1.871 4.279
1.871 1.871 -4.279
ATOMIC_POSITIONS crystal
Mg 0.000 0.000 0.000
Si 0.750 0.250 0.500
Pt 0.250 0.750 0.500
Pt 0.500 0.500 0.000
! M_tot ... 0.000 μB per atom
! SG ... I-4m2, No. 119
! Formation energy (no corrections) ... -0.615 eV/atom

=====

# 10
! MgSiPt2 PBE optimized geometry; values from VASP
&SYSTEM
  ibrav = 0, nat = 4, ntyp = 3
/
ATOMIC_SPECIES
Mg 24.30 Mg.upf
Si 28.09 Si.upf
Pt 195.08 Pt.upf
CELL_PARAMETERS angstrom
-1.886 2.209 3.706
1.886 -2.209 3.706
1.886 2.209 -3.706
ATOMIC_POSITIONS crystal
Mg 0.000 0.000 0.000
Si 0.500 0.500 0.000
Pt 0.291 0.791 0.500
Pt 0.709 0.209 0.500
! M_tot ... 0.000 μB per atom
! SG ... Immm, No. 71
! Formation energy (no corrections) ... -0.667 eV/atom

=====

# 11
! Mg2SiPt2 PBE optimized geometry; values from VASP
&SYSTEM
  ibrav = 0, nat = 10, ntyp = 3
/
ATOMIC_SPECIES
Mg 24.30 Mg.upf
Si 28.09 Si.upf
Pt 195.08 Pt.upf
CELL_PARAMETERS angstrom
6.373 0.000 0.000
0.000 6.373 0.000
0.000 0.000 4.237
ATOMIC_POSITIONS crystal
Mg 0.161 0.339 0.000
Mg 0.339 0.839 0.000
Mg 0.661 0.161 0.000
Mg 0.839 0.661 0.000
Si 0.000 0.000 0.500
Si 0.500 0.500 0.500
Pt 0.154 0.654 0.500
Pt 0.346 0.154 0.500
Pt 0.654 0.846 0.500
Pt 0.846 0.346 0.500
! M_tot ... 0.000 μB per atom
! SG ... P4/mbm, No. 127
! Formation energy (no corrections) ... -0.678 eV/atom

=====

# 12
! MgSi2Pt5 PBE optimized geometry; values from VASP
&SYSTEM
  ibrav = 0, nat = 8, ntyp = 3
/
ATOMIC_SPECIES
Mg 24.30 Mg.upf
Si 28.09 Si.upf
Pt 195.08 Pt.upf
CELL_PARAMETERS angstrom
-1.844 3.474 5.103
1.844 -3.474 5.103
1.844 3.474 -5.103
ATOMIC_POSITIONS crystal
Mg 0.000 0.000 0.000
Si 0.264 0.764 0.500
Si 0.736 0.236 0.500
Pt 0.141 0.358 0.783
Pt 0.426 0.642 0.783
Pt 0.500 0.000 0.500
Pt 0.574 0.358 0.217
Pt 0.859 0.642 0.217
! M_tot ... 0.000 μB per atom
! SG ... Immm, No. 71
! Formation energy (no corrections) ... -0.667 eV/atom

=====

# 13
! MgSi2Pt3 PBE optimized geometry; values from VASP
&SYSTEM
  ibrav = 0, nat = 18, ntyp = 3
/
ATOMIC_SPECIES
Mg 24.30 Mg.upf
Si 28.09 Si.upf
Pt 195.08 Pt.upf
CELL_PARAMETERS angstrom
8.090 -1.964 0.000
8.090 1.964 0.000
-2.435 0.000 9.263
ATOMIC_POSITIONS crystal
Mg 0.000 0.000 0.000
Mg 0.163 0.163 0.716
Mg 0.837 0.837 0.284
Si 0.188 0.188 0.127
Si 0.362 0.362 0.553
Si 0.454 0.454 0.216
Si 0.546 0.546 0.784
Si 0.638 0.638 0.447
Si 0.812 0.812 0.873
Pt 0.026 0.026 0.309
Pt 0.220 0.220 0.392
Pt 0.319 0.319 0.057
Pt 0.392 0.392 0.821
Pt 0.500 0.500 0.500
Pt 0.608 0.608 0.179
Pt 0.681 0.681 0.943
Pt 0.780 0.780 0.608
Pt 0.974 0.974 0.691
! M_tot ... 0.000 μB per atom
! SG ... C2/m, No. 12
! Formation energy (no corrections) ... -0.709 eV/atom

=====

# 14
! MgSiPt2 PBE optimized geometry; values from VASP
&SYSTEM
  ibrav = 0, nat = 4, ntyp = 3
/
ATOMIC_SPECIES
Mg 24.30 Mg.upf
Si 28.09 Si.upf
Pt 195.08 Pt.upf
CELL_PARAMETERS angstrom
2.951 0.000 0.000
0.000 3.927 0.000
0.000 0.000 5.286
ATOMIC_POSITIONS crystal
Mg 0.000 0.000 0.000
Si 0.500 0.500 0.680
Pt 0.000 0.000 0.517
Pt 0.500 0.500 0.185
! M_tot ... 0.000 μB per atom
! SG ... Pmm2, No. 25
! Formation energy (no corrections) ... -0.612 eV/atom

=====

# 15
! MgSiPt3 PBE optimized geometry; values from VASP
&SYSTEM
  ibrav = 0, nat = 10, ntyp = 3
/
ATOMIC_SPECIES
Mg 24.30 Mg.upf
Si 28.09 Si.upf
Pt 195.08 Pt.upf
CELL_PARAMETERS angstrom
5.576 0.000 0.000
2.788 4.844 0.000
2.787 -0.878 6.293
ATOMIC_POSITIONS crystal
Mg 0.000 0.000 0.000
Mg 0.498 0.362 0.642
Si 0.437 0.815 0.310
Si 0.841 0.539 0.778
Pt 0.015 0.860 0.610
Pt 0.129 0.313 0.428
Pt 0.448 0.511 0.078
Pt 0.491 0.022 0.995
Pt 0.516 0.860 0.609
Pt 0.961 0.511 0.079
! M_tot ... 0.000 μB per atom
! SG ... P1, No. 1
! Energy relative to the lowest polymorph listed for this composition ... 0.0 meV per atom
! Formation energy (no corrections) ... -0.709 eV/atom

=====

# 16
! MgSiPt PBE optimized geometry; values from VASP
&SYSTEM
  ibrav = 0, nat = 3, ntyp = 3
/
ATOMIC_SPECIES
Mg 24.30 Mg.upf
Si 28.09 Si.upf
Pt 195.08 Pt.upf
CELL_PARAMETERS angstrom
4.182 0.000 0.000
-2.091 3.621 0.000
0.000 0.000 3.273
ATOMIC_POSITIONS crystal
Mg 0.000 0.000 0.000
Si 0.333 0.667 0.500
Pt 0.667 0.333 0.500
! M_tot ... 0.000 μB per atom
! SG ... P-6m2, No. 187
! Formation energy (no corrections) ... -0.630 eV/atom

=====

# 17
! MgSi2Pt7 PBE optimized geometry; values from VASP
&SYSTEM
  ibrav = 0, nat = 10, ntyp = 3
/
ATOMIC_SPECIES
Mg 24.30 Mg.upf
Si 28.09 Si.upf
Pt 195.08 Pt.upf
CELL_PARAMETERS angstrom
-2.003 2.003 9.820
2.003 -2.003 9.820
2.003 2.003 -9.820
ATOMIC_POSITIONS crystal
Mg 0.000 0.000 0.000
Si 0.326 0.326 0.000
Si 0.674 0.674 0.000
Pt 0.103 0.603 0.500
Pt 0.250 0.750 0.500
Pt 0.397 0.897 0.500
Pt 0.500 0.500 0.000
Pt 0.603 0.103 0.500
Pt 0.750 0.250 0.500
Pt 0.897 0.397 0.500
! M_tot ... 0.000 μB per atom
! SG ... I4/mmm, No. 139
! Formation energy (no corrections) ... -0.704 eV/atom

=====

# 18
! MgSiPt3 PBE optimized geometry; values from VASP
&SYSTEM
  ibrav = 0, nat = 5, ntyp = 3
/
ATOMIC_SPECIES
Mg 24.30 Mg.upf
Si 28.09 Si.upf
Pt 195.08 Pt.upf
CELL_PARAMETERS angstrom
3.928 0.000 0.000
0.000 3.928 0.000
0.000 0.000 5.711
ATOMIC_POSITIONS crystal
Mg 0.000 0.000 0.000
Si 0.500 0.500 0.627
Pt 0.000 0.500 0.384
Pt 0.500 0.000 0.384
Pt 0.500 0.500 0.021
! M_tot ... 0.000 μB per atom
! SG ... P4mm, No. 99
! Energy relative to the lowest polymorph listed for this composition ... 38.1 meV per atom
! Formation energy (no corrections) ... -0.671 eV/atom

=====

# 19
! MgSiPt3 PBE optimized geometry; values from VASP
&SYSTEM
  ibrav = 0, nat = 5, ntyp = 3
/
ATOMIC_SPECIES
Mg 24.30 Mg.upf
Si 28.09 Si.upf
Pt 195.08 Pt.upf
CELL_PARAMETERS angstrom
4.540 0.000 0.000
0.000 4.540 0.000
0.000 0.000 4.540
ATOMIC_POSITIONS crystal
Mg 0.000 0.000 0.000
Si 0.500 0.500 0.500
Pt 0.000 0.500 0.500
Pt 0.500 0.000 0.500
Pt 0.500 0.500 0.000
! M_tot ... 0.000 μB per atom
! SG ... Pm-3m, No. 221
! Energy relative to the lowest polymorph listed for this composition ... 476.3 meV per atom
! Formation energy (no corrections) ... -0.233 eV/atom

=====

# 20
! MgSiPt5 PBE optimized geometry; values from VASP
&SYSTEM
  ibrav = 0, nat = 7, ntyp = 3
/
ATOMIC_SPECIES
Mg 24.30 Mg.upf
Si 28.09 Si.upf
Pt 195.08 Pt.upf
CELL_PARAMETERS angstrom
3.952 0.000 0.000
0.000 3.952 0.000
0.000 0.000 7.054
ATOMIC_POSITIONS crystal
Mg 0.000 0.000 0.000
Si 0.500 0.500 0.500
Pt 0.000 0.500 0.291
Pt 0.000 0.500 0.709
Pt 0.500 0.000 0.291
Pt 0.500 0.000 0.709
Pt 0.500 0.500 0.000
! M_tot ... 0.000 μB per atom
! SG ... P4/mmm, No. 123
! Formation energy (no corrections) ... -0.663 eV/atom

=====

# 21
! Mg2Si3Pt5 PBE optimized geometry; values from VASP
&SYSTEM
  ibrav = 0, nat = 20, ntyp = 3
/
ATOMIC_SPECIES
Mg 24.30 Mg.upf
Si 28.09 Si.upf
Pt 195.08 Pt.upf
CELL_PARAMETERS angstrom
1.987 -11.874 0.000
1.987 11.874 0.000
0.000 0.000 6.602
ATOMIC_POSITIONS crystal
Mg 0.021 0.979 0.500
Mg 0.319 0.681 0.605
Mg 0.681 0.319 0.105
Mg 0.979 0.021 0.000
Si 0.115 0.885 0.737
Si 0.277 0.723 0.122
Si 0.453 0.547 0.706
Si 0.547 0.453 0.206
Si 0.723 0.277 0.622
Si 0.885 0.115 0.237
Pt 0.100 0.900 0.110
Pt 0.202 0.798 0.391
Pt 0.212 0.788 0.835
Pt 0.382 0.618 0.991
Pt 0.452 0.548 0.333
Pt 0.548 0.452 0.833
Pt 0.618 0.382 0.491
Pt 0.788 0.212 0.335
Pt 0.798 0.202 0.891
Pt 0.900 0.100 0.610
! M_tot ... 0.000 μB per atom
! SG ... Cmc2_1, No. 36
! Formation energy (no corrections) ... -0.748 eV/atom

=====

# 22
! MgSi2Pt2 PBE optimized geometry; values from VASP
&SYSTEM
  ibrav = 0, nat = 10, ntyp = 3
/
ATOMIC_SPECIES
Mg 24.30 Mg.upf
Si 28.09 Si.upf
Pt 195.08 Pt.upf
CELL_PARAMETERS angstrom
7.227 0.000 0.000
0.000 7.227 0.000
0.000 0.000 3.056
ATOMIC_POSITIONS crystal
Mg 0.000 0.000 0.000
Mg 0.500 0.500 0.000
Si 0.159 0.341 0.500
Si 0.341 0.841 0.500
Si 0.659 0.159 0.500
Si 0.841 0.659 0.500
Pt 0.140 0.640 0.000
Pt 0.360 0.140 0.000
Pt 0.640 0.860 0.000
Pt 0.860 0.360 0.000
! M_tot ... 0.000 μB per atom
! SG ... P4/mbm, No. 127
! Formation energy (no corrections) ... -0.362 eV/atom

=====

# 23
! MgSiPt2 PBE optimized geometry; values from VASP
&SYSTEM
  ibrav = 0, nat = 4, ntyp = 3
/
ATOMIC_SPECIES
Mg 24.30 Mg.upf
Si 28.09 Si.upf
Pt 195.08 Pt.upf
CELL_PARAMETERS angstrom
4.190 -1.468 0.000
4.190 1.468 0.000
-1.055 0.000 5.003
ATOMIC_POSITIONS crystal
Mg 0.000 0.000 0.000
Si 0.500 0.500 0.500
Pt 0.238 0.238 0.734
Pt 0.762 0.762 0.266
! M_tot ... 0.000 μB per atom
! SG ... C2/m, No. 12
! Formation energy (no corrections) ... -0.544 eV/atom

=====

# 24
! MgSiPt2 PBE optimized geometry; values from VASP
&SYSTEM
  ibrav = 0, nat = 8, ntyp = 3
/
ATOMIC_SPECIES
Mg 24.30 Mg.upf
Si 28.09 Si.upf
Pt 195.08 Pt.upf
CELL_PARAMETERS angstrom
-3.514 3.514 2.783
3.514 -3.514 2.783
3.514 3.514 -2.783
ATOMIC_POSITIONS crystal
Mg 0.000 0.000 0.000
Mg 0.750 0.250 0.500
Si 0.250 0.750 0.500
Si 0.500 0.500 0.000
Pt 0.184 0.625 0.059
Pt 0.375 0.434 0.559
Pt 0.566 0.125 0.941
Pt 0.875 0.816 0.441
! M_tot ... 0.000 μB per atom
! SG ... I-42d, No. 122
! Formation energy (no corrections) ... -0.536 eV/atom

=====

# 25
! MgSi4Pt PBE optimized geometry; values from VASP
&SYSTEM
  ibrav = 0, nat = 6, ntyp = 3
/
ATOMIC_SPECIES
Mg 24.30 Mg.upf
Si 28.09 Si.upf
Pt 195.08 Pt.upf
CELL_PARAMETERS angstrom
0.000 3.610 3.610
3.610 0.000 3.610
3.610 3.610 0.000
ATOMIC_POSITIONS crystal
Mg 0.000 0.000 0.000
Si 0.375 0.375 0.375
Si 0.375 0.375 0.875
Si 0.375 0.875 0.375
Si 0.875 0.375 0.375
Pt 0.750 0.750 0.750
! M_tot ... 0.000 μB per atom
! SG ... F-43m, No. 216
! Formation energy (no corrections) ... 0.258 eV/atom